A relaxed structure of ZrZn, computed with GGA-PBE.

```
ZrZn
1.0
-3.6074 -3.3736 1.7428
-1.7937 -0.7358 -5.1370
6.8453 -7.9651 -1.2493
Zr Zn
8 8
Direct
0.8671 0.1104 0.9814 Zr
0.3671 0.3896 0.0186 Zr
0.1329 0.6104 0.5186 Zr
0.6329 0.8896 0.4814 Zr
0.3530 0.8776 0.8135 Zr
0.8530 0.6224 0.1865 Zr
0.6470 0.3776 0.6865 Zr
0.1470 0.1224 0.3135 Zr
0.3436 0.8922 0.0807 Zn
0.8436 0.6078 0.9193 Zn
0.6564 0.3922 0.4193 Zn
0.1564 0.1078 0.5807 Zn
0.1512 0.3754 0.7762 Zn
0.6512 0.1246 0.2238 Zn
0.8488 0.8754 0.7238 Zn
0.3488 0.6246 0.2762 Zn
```

## Properties
calculated volume: 19.01 A^3/atom
formation energy from the elements: -174 meV/atom
size of the total moment: 0.00 μB per formula unit
space group: P2_12_12_1

=====

A relaxed structure of Pm2PrTm3, computed with GGA-PBE.

```
Pm2PrTm3
1.0
-3.5193 0.4670 5.6321
3.9601 -4.8948 2.1639
5.6107 6.8691 1.4803
Pm Pr Tm
4 2 6
Direct
0.8696 0.3763 0.1263 Pm
0.6237 0.1304 0.3737 Pm
0.1304 0.6237 0.8737 Pm
0.3763 0.8696 0.6263 Pm
0.0857 0.9143 0.2500 Pr
0.9143 0.0857 0.7500 Pr
0.1663 0.3341 0.4988 Tm
0.6659 0.8337 0.0012 Tm
0.8337 0.6659 0.5012 Tm
0.3341 0.1663 0.9988 Tm
0.4193 0.5807 0.2500 Tm
0.5807 0.4193 0.7500 Tm
```

## Properties
calculated volume: 32.39 A^3/atom
formation energy from the elements: 70 meV/atom
size of the total moment: 0.00 μB per formula unit
space group: C2/c

=====

A relaxed structure of Ac3Sm2Y5, computed with GGA-PBE.

```
Ac3Sm2Y5
1.0
-9.3784 0.8639 -2.7585
3.3712 -9.1797 0.2627
0.5930 3.5285 9.1420
Ac Sm Y
6 4 10
Direct
0.1767 0.0231 0.9452 Ac
0.8233 0.9769 0.0548 Ac
0.6284 0.3770 0.2510 Ac
0.3716 0.6230 0.7490 Ac
0.1290 0.8718 0.2540 Ac
0.8710 0.1282 0.7460 Ac
0.7226 0.6721 0.6485 Sm
0.2774 0.3279 0.3514 Sm
0.5229 0.0786 0.8421 Sm
0.4771 0.9214 0.1579 Sm
0.3266 0.4806 0.0530 Y
0.6734 0.5194 0.9470 Y
0.0732 0.7233 0.5469 Y
0.5747 0.2295 0.5517 Y
0.9268 0.2767 0.4531 Y
0.4253 0.7705 0.4483 Y
0.0182 0.5705 0.8458 Y
0.9818 0.4295 0.1542 Y
0.2270 0.1764 0.6488 Y
0.7730 0.8236 0.3512 Y
```

## Properties
calculated volume: 36.07 A^3/atom
formation energy from the elements: 48 meV/atom
size of the total moment: 0.00 μB per formula unit
space group: P-1

=====

A relaxed structure of Tm4BSe3, computed with GGA-PBE.

```
Tm4BSe3
1.0
-2.4640 2.5947 -1.5852
3.8243 0.1153 -5.7559
-4.8048 -4.9315 -0.6033
B Tm Se
1 4 3
Direct
0.5000 0.0000 0.0000 B
0.0000 0.2169 0.2169 Tm
0.5000 0.7735 0.2265 Tm
0.0000 0.7831 0.7831 Tm
0.5000 0.2265 0.7735 Tm
0.0000 0.0000 0.5000 Se
0.5000 0.5000 0.5000 Se
0.0000 0.5000 0.0000 Se
```

## Properties
calculated total energy: -46.5 eV per cell
calculated volume: 22.11 A^3/atom
size of the total moment: 0.00 μB per formula unit
space group: Cmmm